No. 1
Here is crystalline VPdAu2 at its relaxed geometry from Alexandria. Energies are from PBE-GGA. Values from VASP.

```
&SYSTEM
  ibrav = 0, nat = 4, ntyp = 3
/
ATOMIC_SPECIES
V 50.94 V.upf
Pd 106.42 Pd.upf
Au 196.97 Au.upf
CELL_PARAMETERS angstrom
0.0000 3.2141 3.2141
3.2141 0.0000 3.2141
3.2141 3.2141 0.0000
ATOMIC_POSITIONS angstrom
V 0.0000 0.0000 0.0000
Pd 3.2141 3.2141 3.2141
Au 1.6071 1.6071 1.6071
Au 4.8212 4.8212 4.8212
```

M_tot ... 2.12 Bohr magnetons per cell
Formation energy ... -0.3 kJ/mol of atoms
ΔE to the lowest computed polymorph ... 57 meV/atom
Crystal system ... cubic

No. 2
Here is crystalline Ba2SnGeCl at its relaxed geometry from Alexandria. Energies are from PBE-GGA. Values from VASP.

```
&SYSTEM
  ibrav = 0, nat = 5, ntyp = 4
/
ATOMIC_SPECIES
Ba 137.33 Ba.upf
Sn 118.71 Sn.upf
Ge 72.64 Ge.upf
Cl 35.45 Cl.upf
CELL_PARAMETERS angstrom
6.4644 0.0000 0.0000
0.0000 6.4644 0.0000
0.0000 0.0000 5.0938
ATOMIC_POSITIONS angstrom
Ba 0.0000 3.2322 0.0000
Ba 3.2322 0.0000 0.0000
Sn 0.0000 0.0000 2.5469
Ge 0.0000 0.0000 0.0000
Cl 3.2322 3.2322 2.5469
```

M_tot ... 0.00 Bohr magnetons per cell
Crystal system ... tetragonal
ΔE_f (raw) ... -681.2 meV per atom

No. 3
Here is crystalline Y3TaGe at its relaxed geometry from Alexandria. Energies are from PBE-GGA. Values from VASP.

```
&SYSTEM
  ibrav = 0, nat = 5, ntyp = 3
/
ATOMIC_SPECIES
Y 88.91 Y.upf
Ta 180.95 Ta.upf
Ge 72.64 Ge.upf
CELL_PARAMETERS angstrom
5.4082 0.0000 0.0000
0.0000 5.4082 0.0000
0.0000 0.0000 5.4082
ATOMIC_POSITIONS angstrom
Y 0.0000 0.0000 2.7041
Y 0.0000 2.7041 0.0000
Y 2.7041 0.0000 0.0000
Ta 0.0000 0.0000 0.0000
Ge 2.7041 2.7041 2.7041
```

M_tot ... 0.00 Bohr magnetons per cell
Formation energy ... 67.4 kJ/mol of atoms
ΔE to the lowest computed polymorph ... 152 meV/atom
Crystal system ... cubic

No. 4
Here is crystalline HoNi2Ag at its relaxed geometry from Alexandria. Energies are from PBE-GGA. Values from VASP.

```
&SYSTEM
  ibrav = 0, nat = 4, ntyp = 3
/
ATOMIC_SPECIES
Ho 164.93 Ho.upf
Ni 58.69 Ni.upf
Ag 107.87 Ag.upf
CELL_PARAMETERS angstrom
4.1713 0.0000 0.0000
0.0000 4.1713 0.0000
0.0000 0.0000 3.6919
ATOMIC_POSITIONS angstrom
Ho 0.0000 0.0000 0.0000
Ni 0.0000 2.0856 1.8459
Ni 2.0856 0.0000 1.8459
Ag 2.0856 2.0856 0.0000
```

M_tot ... 0.00 Bohr magnetons per cell
Formation energy ... -19.5 kJ/mol of atoms
ΔE to the lowest computed polymorph ... 0 meV/atom
Crystal system ... tetragonal

The records above yield calculated volume values of 16.60, 42.57, 31.64, 16.06 A^3/atom, respectively.